Entry from Alexandria: a relaxed structure of NaTlSb2I (PBE-GGA).

total magnetic moment	0.00	μB/f.u.
space group	No. 123
crystal system	tetragonal
N(E_F)	0.9451	states/eV per atom
raw formation energy	364.8	meV/atom
volume	189.32	Å³/f.u.

Cell: 5.494 5.494 6.272 Å, 90.00 90.00 90.00°
Positions (direct):
1 Na 0.000 0.000 0.000
2 Tl 0.500 0.500 0.500
3 Sb 0.000 0.500 0.000
4 Sb 0.500 0.000 0.000
5 I 0.000 0.000 0.500

Entry from Alexandria: a relaxed structure of NaTlSbI2 (PBE-GGA).

total magnetic moment	1.95	μB/f.u.
space group	No. 123
crystal system	tetragonal
N(E_F)	0.1642	states/eV per atom
raw formation energy	-98.5	meV/atom
volume	245.92	Å³/f.u.

Cell: 6.507 6.507 5.808 Å, 90.00 90.00 90.00°
Positions (direct):
1 Na 0.000 0.000 0.000
2 Tl 0.500 0.500 0.500
3 Sb 0.500 0.500 0.000
4 I 0.000 0.500 0.500
5 I 0.500 0.000 0.500

Entry from Alexandria: a relaxed structure of NaTlSbI2 (PBE-GGA).

total magnetic moment	2.99	μB/f.u.
space group	No. 123
crystal system	tetragonal
N(E_F)	0.1680	states/eV per atom
raw formation energy	-62.3	meV/atom
volume	221.86	Å³/f.u.

Cell: 6.070 6.070 6.022 Å, 90.00 90.00 90.00°
Positions (direct):
1 Na 0.000 0.000 0.000
2 Tl 0.500 0.500 0.500
3 Sb 0.000 0.000 0.500
4 I 0.000 0.500 0.000
5 I 0.500 0.000 0.000

Entry from Alexandria: a relaxed structure of NaTlSb2I (PBE-GGA).

total magnetic moment	1.30	μB/f.u.
space group	No. 123
crystal system	tetragonal
N(E_F)	0.8208	states/eV per atom
raw formation energy	290.6	meV/atom
volume	221.30	Å³/f.u.

Cell: 5.717 5.717 6.770 Å, 90.00 90.00 90.00°
Positions (direct):
1 Na 0.000 0.000 0.000
2 Tl 0.500 0.500 0.500
3 Sb 0.000 0.500 0.500
4 Sb 0.500 0.000 0.500
5 I 0.500 0.500 0.000

Entry from Alexandria: a relaxed structure of NaSbWI2 (PBE-GGA).

total magnetic moment	1.89	μB/f.u.
space group	No. 123
crystal system	tetragonal
N(E_F)	0.5518	states/eV per atom
raw formation energy	318.3	meV/atom
volume	179.92	Å³/f.u.

Cell: 5.870 5.870 5.222 Å, 90.00 90.00 90.00°
Positions (direct):
1 Na 0.000 0.000 0.000
2 Sb 0.500 0.500 0.000
3 W 0.500 0.500 0.500
4 I 0.000 0.500 0.500
5 I 0.500 0.000 0.500

Entry from Alexandria: a relaxed structure of NaSb2WI (PBE-GGA).

total magnetic moment	0.67	μB/f.u.
space group	No. 123
crystal system	tetragonal
N(E_F)	0.7221	states/eV per atom
raw formation energy	317.3	meV/atom
volume	169.03	Å³/f.u.

Cell: 5.195 5.195 6.263 Å, 90.00 90.00 90.00°
Positions (direct):
1 Na 0.000 0.000 0.000
2 Sb 0.000 0.500 0.500
3 Sb 0.500 0.000 0.500
4 W 0.500 0.500 0.500
5 I 0.500 0.500 0.000

Entry from Alexandria: a relaxed structure of NaYSb2I (PBE-GGA).

total magnetic moment	0.61	μB/f.u.
space group	No. 123
crystal system	tetragonal
N(E_F)	0.9690	states/eV per atom
raw formation energy	-276.6	meV/atom
volume	211.71	Å³/f.u.

Cell: 5.868 5.868 6.148 Å, 90.00 90.00 90.00°
Positions (direct):
1 Na 0.000 0.000 0.000
2 Y 0.500 0.500 0.500
3 Sb 0.000 0.500 0.500
4 Sb 0.500 0.000 0.500
5 I 0.500 0.500 0.000

Entry from Alexandria: a relaxed structure of NaYSb2I (PBE-GGA).

total magnetic moment	0.00	μB/f.u.
space group	No. 123
crystal system	tetragonal
N(E_F)	0.7175	states/eV per atom
raw formation energy	203.3	meV/atom
volume	162.80	Å³/f.u.

Cell: 5.348 5.348 5.691 Å, 90.00 90.00 90.00°
Positions (direct):
1 Na 0.000 0.000 0.000
2 Y 0.500 0.500 0.500
3 Sb 0.000 0.500 0.000
4 Sb 0.500 0.000 0.000
5 I 0.000 0.000 0.500

Entry from Alexandria: a relaxed structure of NaZnSbI2 (PBE-GGA).

total magnetic moment	1.51	μB/f.u.
space group	No. 123
crystal system	tetragonal
N(E_F)	0.5765	states/eV per atom
raw formation energy	-137.3	meV/atom
volume	188.33	Å³/f.u.

Cell: 6.023 6.023 5.191 Å, 90.00 90.00 90.00°
Positions (direct):
1 Na 0.000 0.000 0.000
2 Zn 0.500 0.500 0.500
3 Sb 0.500 0.500 0.000
4 I 0.000 0.500 0.500
5 I 0.500 0.000 0.500

Entry from Alexandria: a relaxed structure of NaZnSb2I (PBE-GGA).

total magnetic moment	0.00	μB/f.u.
space group	No. 123
crystal system	tetragonal
N(E_F)	0.8119	states/eV per atom
raw formation energy	105.8	meV/atom
volume	178.84	Å³/f.u.

Cell: 5.156 5.156 6.726 Å, 90.00 90.00 90.00°
Positions (direct):
1 Na 0.000 0.000 0.000
2 Zn 0.500 0.500 0.500
3 Sb 0.000 0.500 0.500
4 Sb 0.500 0.000 0.500
5 I 0.500 0.500 0.000

Entry from Alexandria: a relaxed structure of NaZnSbI2 (PBE-GGA).

total magnetic moment	2.24	μB/f.u.
space group	No. 123
crystal system	tetragonal
N(E_F)	1.0577	states/eV per atom
raw formation energy	334.3	meV/atom
volume	212.59	Å³/f.u.

Cell: 5.843 5.843 6.226 Å, 90.00 90.00 90.00°
Positions (direct):
1 Na 0.000 0.000 0.000
2 Zn 0.500 0.500 0.500
3 Sb 0.000 0.000 0.500
4 I 0.000 0.500 0.000
5 I 0.500 0.000 0.000

Entry from Alexandria: a relaxed structure of NaZnSb2I (PBE-GGA).

total magnetic moment	1.17	μB/f.u.
space group	No. 123
crystal system	tetragonal
N(E_F)	1.1116	states/eV per atom
raw formation energy	690.9	meV/atom
volume	180.68	Å³/f.u.

Cell: 5.604 5.604 5.754 Å, 90.00 90.00 90.00°
Positions (direct):
1 Na 0.000 0.000 0.000
2 Zn 0.500 0.500 0.500
3 Sb 0.000 0.500 0.000
4 Sb 0.500 0.000 0.000
5 I 0.000 0.000 0.500